1.
The following is a PBE-GGA calculation of Nd2Tm7 after structural relaxation, from the Alexandria database.

The space group is P-31m (No. 162) and the conventional cell measures 6.1163, 6.1163 and 8.6377 Å, with angles of 90.00, 90.00 and 120.00 degrees. The distinct sites, in fractional coordinates, are Nd at (0.3333, 0.6667, 0.0000), Tm at (0.0000, 0.0000, 0.0000) and Tm at (0.0000, 0.3322, 0.6633).

The formation enthalpy at 0 K comes out at 0.026 eV/atom. The mass density is 8.73 g cm⁻³.

=====

2.
The following is a PBE-GGA calculation of Nd2Tm5 after structural relaxation, from the Alexandria database.

The space group is C2/c (No. 15) and the conventional cell measures 15.6618, 6.2516 and 9.1702 Å, with angles of 90.00, 96.01 and 90.00 degrees. The distinct sites, in fractional coordinates, are Nd at (0.0731, 0.1682, 0.1077), Tm at (0.0000, 0.3352, 0.7500), Tm at (0.1456, 0.3360, 0.4655) and Tm at (0.2143, 0.1672, 0.8214).

The formation enthalpy at 0 K comes out at 0.008 eV/atom. The calculation puts the energy above the most stable polymorph in this dataset at 0.000 eV per atom. The mass density is 8.43 g cm⁻³.

=====

3.
The following is a PBE-GGA calculation of Nd5Tm4 after structural relaxation, from the Alexandria database.

The space group is I4/mmm (No. 139) and the conventional cell measures 10.8075, 10.8075 and 5.0560 Å, with angles of 90.00, 90.00 and 90.00 degrees. The distinct sites, in fractional coordinates, are Nd at (0.0000, 0.0000, 0.0000), Nd at (0.0000, 0.3303, 0.0000) and Tm at (0.1668, 0.1668, 0.5000).

The formation enthalpy at 0 K comes out at 0.021 eV/atom. The mass density is 7.86 g cm⁻³.

=====

4.
The following is a PBE-GGA calculation of Nd5Tm3 after structural relaxation, from the Alexandria database.

The space group is Amm2 (No. 38) and the conventional cell measures 7.3240, 11.5805 and 12.6789 Å, with angles of 90.00, 90.00 and 90.00 degrees. The distinct sites, in fractional coordinates, are Nd at (0.0000, 0.0000, 0.0000), Nd at (0.0000, 0.2489, 0.1625), Nd at (0.2512, 0.2485, 0.4140), Nd at (0.2533, 0.0000, 0.7466), Nd at (0.5000, 0.0000, 0.4957), Tm at (0.0000, 0.0000, 0.4929), Tm at (0.2529, 0.0000, 0.2470), Tm at (0.5000, 0.0000, 0.0000) and Tm at (0.5000, 0.2434, 0.1633).

The formation enthalpy at 0 K comes out at 0.026 eV/atom. The mass density is 7.58 g cm⁻³.

=====

5.
The following is a PBE-GGA calculation of Nd3Tm after structural relaxation, from the Alexandria database.

The space group is Fm-3m (No. 225) and the conventional cell measures 8.1727, 8.1727 and 8.1727 Å, with angles of 90.00, 90.00 and 90.00 degrees. The distinct sites, in fractional coordinates, are Nd at (0.0000, 0.0000, 0.0000), Nd at (0.2500, 0.2500, 0.2500) and Tm at (0.0000, 0.0000, 0.5000).

The formation enthalpy at 0 K comes out at 0.131 eV/atom. The calculation puts the energy above the most stable polymorph in this dataset at 0.116 eV per atom. The mass density is 7.32 g cm⁻³.

=====

6.
The following is a PBE-GGA calculation of NdTm after structural relaxation, from the Alexandria database.

The space group is R-3m (No. 166, hexagonal axes) and the conventional cell measures 3.5881, 3.5881 and 35.0586 Å, with angles of 90.00, 90.00 and 120.00 degrees. The distinct sites, in fractional coordinates, are Nd at (0.0000, 0.0000, 0.1225) and Tm at (0.0000, 0.0000, 0.2935).

The formation enthalpy at 0 K comes out at 0.031 eV/atom. The calculation puts the energy above the most stable polymorph in this dataset at 0.011 eV per atom. The mass density is 7.98 g cm⁻³.

=====

7.
The following is a PBE-GGA calculation of Nd2Tm after structural relaxation, from the Alexandria database.

The space group is Fd-3m (No. 227, origin choice 2) and the conventional cell measures 9.4202, 9.4202 and 9.4202 Å, with angles of 90.00, 90.00 and 90.00 degrees. The distinct sites, in fractional coordinates, are Nd at (0.0000, 0.0000, 0.0000) and Tm at (0.1250, 0.1250, 0.6250).

The formation enthalpy at 0 K comes out at 0.270 eV/atom. The calculation puts the energy above the most stable polymorph in this dataset at 0.243 eV per atom. The mass density is 7.27 g cm⁻³.

=====

8.
The following is a PBE-GGA calculation of Nd4Tm3 after structural relaxation, from the Alexandria database.

The space group is Immm (No. 71) and the conventional cell measures 3.6092, 5.0572 and 25.2585 Å, with angles of 90.00, 90.00 and 90.00 degrees. The distinct sites, in fractional coordinates, are Nd at (0.0000, 0.0000, 0.0706), Nd at (0.0000, 0.0000, 0.2130), Tm at (0.0000, 0.0000, 0.3578) and Tm at (0.0000, 0.0000, 0.5000).

The formation enthalpy at 0 K comes out at 0.021 eV/atom. The calculation puts the energy above the most stable polymorph in this dataset at 0.000 eV per atom. The mass density is 7.81 g cm⁻³.

=====

9.
The following is a PBE-GGA calculation of Nd3Tm after structural relaxation, from the Alexandria database.

The space group is Pm-3m (No. 221) and the conventional cell measures 5.1357, 5.1357 and 5.1357 Å, with angles of 90.00, 90.00 and 90.00 degrees. The distinct sites, in fractional coordinates, are Nd at (0.0000, 0.0000, 0.5000) and Tm at (0.5000, 0.5000, 0.5000).

The formation enthalpy at 0 K comes out at 0.015 eV/atom. The calculation puts the energy above the most stable polymorph in this dataset at 0.000 eV per atom. The mass density is 7.38 g cm⁻³.

=====

10.
The following is a PBE-GGA calculation of NdTm2 after structural relaxation, from the Alexandria database.

The space group is I4/mmm (No. 139) and the conventional cell measures 3.5534, 3.5534 and 15.0950 Å, with angles of 90.00, 90.00 and 90.00 degrees. The distinct sites, in fractional coordinates, are Nd at (0.0000, 0.0000, 0.0000) and Tm at (0.0000, 0.0000, 0.3310).

The formation enthalpy at 0 K comes out at 0.028 eV/atom. The calculation puts the energy above the most stable polymorph in this dataset at 0.033 eV per atom. The mass density is 8.40 g cm⁻³.

=====

11.
The following is a PBE-GGA calculation of Nd3Tm13 after structural relaxation, from the Alexandria database.

The space group is Amm2 (No. 38) and the conventional cell measures 7.2024, 11.1917 and 12.4487 Å, with angles of 90.00, 90.00 and 90.00 degrees. The distinct sites, in fractional coordinates, are Nd at (0.0000, 0.0000, 0.0000), Nd at (0.2525, 0.0000, 0.7462), Tm at (0.0000, 0.0000, 0.4958), Tm at (0.0000, 0.2483, 0.1654), Tm at (0.2503, 0.0000, 0.2497), Tm at (0.2512, 0.2467, 0.4156), Tm at (0.5000, 0.0000, 0.0005), Tm at (0.5000, 0.0000, 0.4958) and Tm at (0.5000, 0.2458, 0.1654).

The formation enthalpy at 0 K comes out at 0.008 eV/atom. The calculation puts the energy above the most stable polymorph in this dataset at 0.000 eV per atom. The mass density is 8.70 g cm⁻³.

=====

12.
The following is a PBE-GGA calculation of Nd2Tm after structural relaxation, from the Alexandria database.

The space group is R-3m (No. 166, hexagonal axes) and the conventional cell measures 3.6142, 3.6142 and 26.6470 Å, with angles of 90.00, 90.00 and 120.00 degrees. The distinct sites, in fractional coordinates, are Nd at (0.0000, 0.0000, 0.2254) and Tm at (0.0000, 0.0000, 0.0000).

The formation enthalpy at 0 K comes out at 0.027 eV/atom. The calculation puts the energy above the most stable polymorph in this dataset at 0.000 eV per atom. The mass density is 7.56 g cm⁻³.

=====

13.
The following is a PBE-GGA calculation of Nd2Tm after structural relaxation, from the Alexandria database.

The space group is I4/mmm (No. 139) and the conventional cell measures 3.6271, 3.6271 and 15.3077 Å, with angles of 90.00, 90.00 and 90.00 degrees. The distinct sites, in fractional coordinates, are Nd at (0.0000, 0.0000, 0.1642) and Tm at (0.0000, 0.0000, 0.5000).

The formation enthalpy at 0 K comes out at 0.027 eV/atom. The calculation puts the energy above the most stable polymorph in this dataset at 0.000 eV per atom. The mass density is 7.54 g cm⁻³.

=====

14.
The following is a PBE-GGA calculation of Nd5Tm3 after structural relaxation, from the Alexandria database.

The space group is P4/mmm (No. 123) and the conventional cell measures 3.6234, 3.6234 and 20.3046 Å, with angles of 90.00, 90.00 and 90.00 degrees. The distinct sites, in fractional coordinates, are Nd at (0.0000, 0.0000, 0.0000), Nd at (0.0000, 0.0000, 0.2471), Nd at (0.5000, 0.5000, 0.3763), Tm at (0.0000, 0.0000, 0.5000) and Tm at (0.5000, 0.5000, 0.1227).

The formation enthalpy at 0 K comes out at 0.026 eV/atom. The mass density is 7.65 g cm⁻³.

=====

15.
The following is a PBE-GGA calculation of NdTm after structural relaxation, from the Alexandria database.

The space group is Pmma (No. 51) and the conventional cell measures 5.7288, 3.6690 and 6.2894 Å, with angles of 90.00, 90.00 and 90.00 degrees. The distinct sites, in fractional coordinates, are Nd at (0.2500, 0.0000, 0.1705) and Tm at (0.2500, 0.5000, 0.6645).

The formation enthalpy at 0 K comes out at 0.021 eV/atom. The calculation puts the energy above the most stable polymorph in this dataset at 0.000 eV per atom. The mass density is 7.87 g cm⁻³.

=====

16.
The following is a PBE-GGA calculation of Nd3Tm5 after structural relaxation, from the Alexandria database.

The space group is Pmm2 (No. 25) and the conventional cell measures 3.6156, 5.6833 and 12.5704 Å, with angles of 90.00, 90.00 and 90.00 degrees. The distinct sites, in fractional coordinates, are Nd at (0.0000, 0.0000, 0.0000), Nd at (0.0000, 0.5000, 0.1775), Nd at (0.5000, 0.0000, 0.2589), Tm at (0.0000, 0.0000, 0.5103), Tm at (0.0000, 0.5000, 0.6708), Tm at (0.5000, 0.0000, 0.7515), Tm at (0.5000, 0.5000, 0.4290) and Tm at (0.5000, 0.5000, 0.9132).

The formation enthalpy at 0 K comes out at 0.023 eV/atom. The calculation puts the energy above the most stable polymorph in this dataset at 0.000 eV per atom. The mass density is 8.21 g cm⁻³.

=====

17.
The following is a PBE-GGA calculation of Nd5Tm2 after structural relaxation, from the Alexandria database.

The space group is P-1 (No. 2) and the conventional cell measures 3.5380, 6.2061 and 11.7620 Å, with angles of 76.07, 89.99 and 73.61 degrees. The distinct sites, in fractional coordinates, are Nd at (0.0000, 0.0000, 0.0000), Nd at (0.2344, 0.5310, 0.8627), Nd at (0.4653, 0.0744, 0.7098) and Tm at (0.1460, 0.7047, 0.5581).

The formation enthalpy at 0 K comes out at 0.111 eV/atom. The calculation puts the energy above the most stable polymorph in this dataset at 0.085 eV per atom. The mass density is 7.33 g cm⁻³.

=====

18.
The following is a PBE-GGA calculation of NdTm6 after structural relaxation, from the Alexandria database.

The space group is Im-3m (No. 229) and the conventional cell measures 8.0860, 8.0860 and 8.0860 Å, with angles of 90.00, 90.00 and 90.00 degrees. The distinct sites, in fractional coordinates, are Nd at (0.0000, 0.0000, 0.0000) and Tm at (0.0000, 0.2500, 0.5000).

The formation enthalpy at 0 K comes out at 1.488 eV/atom. The mass density is 7.27 g cm⁻³.

=====

19.
The following is a PBE-GGA calculation of NdTmV4 after structural relaxation, from the Alexandria database.

The space group is F-43m (No. 216) and the conventional cell measures 7.6247, 7.6247 and 7.6247 Å, with angles of 90.00, 90.00 and 90.00 degrees. The distinct sites, in fractional coordinates, are Nd at (0.0000, 0.0000, 0.0000), Tm at (0.2500, 0.2500, 0.7500) and V at (0.1203, 0.1203, 0.3797).

The formation enthalpy at 0 K comes out at 0.374 eV/atom. The mass density is 7.75 g cm⁻³.

=====

20.
The following is a PBE-GGA calculation of NdY9Tm2 after structural relaxation, from the Alexandria database.

The space group is P4/mmm (No. 123) and the conventional cell measures 5.0453, 5.0453 and 15.1432 Å, with angles of 90.00, 90.00 and 90.00 degrees. The distinct sites, in fractional coordinates, are Nd at (0.0000, 0.0000, 0.0000), Y at (0.0000, 0.5000, 0.1693), Y at (0.0000, 0.5000, 0.5000), Y at (0.5000, 0.5000, 0.0000), Y at (0.5000, 0.5000, 0.3354) and Tm at (0.0000, 0.0000, 0.3345).

The formation enthalpy at 0 K comes out at 0.027 eV/atom. The mass density is 5.52 g cm⁻³.

=====

21.
The following is a PBE-GGA calculation of NdYTm after structural relaxation, from the Alexandria database.

The space group is P2_1/m (No. 11) and the conventional cell measures 6.2487, 3.6084 and 8.8873 Å, with angles of 90.00, 103.51 and 90.00 degrees. The distinct sites, in fractional coordinates, are Nd at (0.2458, 0.2500, 0.4951), Y at (0.4723, 0.2500, 0.1646) and Tm at (0.0308, 0.2500, 0.8393).

The formation enthalpy at 0 K comes out at -0.003 eV/atom. The calculation puts the energy above the most stable polymorph in this dataset at 0.000 eV per atom. The mass density is 6.85 g cm⁻³.

=====

22.
The following is a PBE-GGA calculation of Nd2YTm8 after structural relaxation, from the Alexandria database.

The space group is C2/m (No. 12) and the conventional cell measures 9.0379, 15.9681 and 5.8536 Å, with angles of 90.00, 123.79 and 90.00 degrees. The distinct sites, in fractional coordinates, are Nd at (0.0000, 0.1930, 0.0000), Y at (0.0000, 0.5000, 0.5000), Tm at (0.0000, 0.2927, 0.5000), Tm at (0.0660, 0.0000, 0.2952) and Tm at (0.2144, 0.3830, 0.1767).

The formation enthalpy at 0 K comes out at 0.159 eV/atom. The calculation puts the energy above the most stable polymorph in this dataset at 0.000 eV per atom. The mass density is 8.18 g cm⁻³.

=====

23.
The following is a PBE-GGA calculation of Nd3Y8Tm2 after structural relaxation, from the Alexandria database.

The space group is C2/m (No. 12) and the conventional cell measures 20.0104, 7.7593 and 5.6964 Å, with angles of 90.00, 90.02 and 90.00 degrees. The distinct sites, in fractional coordinates, are Nd at (0.0000, 0.0000, 0.0000), Nd at (0.0000, 0.2921, 0.5000), Y at (0.1092, 0.2912, 0.0002), Y at (0.1354, 0.0000, 0.4998), Y at (0.1741, 0.5000, 0.5005) and Tm at (0.2410, 0.0000, 0.9994).

The formation enthalpy at 0 K comes out at 0.245 eV/atom. The calculation puts the energy above the most stable polymorph in this dataset at 0.011 eV per atom. The mass density is 5.56 g cm⁻³.

=====

24.
The following is a PBE-GGA calculation of Nd7YTm2 after structural relaxation, from the Alexandria database.

The space group is Cmmm (No. 65) and the conventional cell measures 8.8908, 16.4139 and 5.6993 Å, with angles of 90.00, 90.00 and 90.00 degrees. The distinct sites, in fractional coordinates, are Nd at (0.0000, 0.0000, 0.0000), Nd at (0.0000, 0.2785, 0.5000), Nd at (0.1793, 0.3859, 0.0000), Y at (0.0000, 0.5000, 0.5000) and Tm at (0.0000, 0.2052, 0.0000).

The formation enthalpy at 0 K comes out at 0.637 eV/atom. The calculation puts the energy above the most stable polymorph in this dataset at 0.619 eV per atom. The mass density is 5.74 g cm⁻³.

=====

25.
The following is a PBE-GGA calculation of NdY2Tm7 after structural relaxation, from the Alexandria database.

The space group is Cmmm (No. 65) and the conventional cell measures 8.5935, 17.0874 and 5.2177 Å, with angles of 90.00, 90.00 and 90.00 degrees. The distinct sites, in fractional coordinates, are Nd at (0.0000, 0.0000, 0.0000), Y at (0.0000, 0.2980, 0.5000), Tm at (0.0000, 0.1973, 0.0000), Tm at (0.0000, 0.5000, 0.5000) and Tm at (0.1782, 0.1095, 0.5000).

The formation enthalpy at 0 K comes out at 0.724 eV/atom. The calculation puts the energy above the most stable polymorph in this dataset at 0.696 eV per atom. The mass density is 6.52 g cm⁻³.